[1]
The following is a GGA-PBE calculation of Cs2AgBrO after structural relaxation, from Alexandria.

Cell: 6.2818 6.2818 4.1580 Å, 90.00 90.00 90.00°
Space group P4/mmm (No. 123)
One atom of each set of equivalent atoms:
Cs1 0.0000 0.5000 0.0000 (multiplicity 2)
Ag1 0.0000 0.0000 0.5000 (multiplicity 1)
Br1 0.5000 0.5000 0.5000 (multiplicity 1)
O1 0.0000 0.0000 0.0000 (multiplicity 1)

## Properties
E_form (uncorrected), eV/atom: -1.092
M_tot, μB/f.u.: 0.0

[2]
The following is a GGA-PBE calculation of FeSnS after structural relaxation, from Alexandria.

Cell: 12.9428 3.1306 5.5535 Å, 90.00 96.54 90.00°
Space group Cm (No. 8)
One atom of each set of equivalent atoms:
Fe1 0.0000 0.0000 0.0000 (multiplicity 2)
Fe2 0.0457 0.5000 0.3905 (multiplicity 2)
Sn1 0.2029 0.0000 0.2761 (multiplicity 2)
Sn2 0.3273 0.0000 0.8361 (multiplicity 2)
S1 0.0549 0.5000 0.7786 (multiplicity 2)
S2 0.4322 0.5000 0.3357 (multiplicity 2)

## Properties
E_form (uncorrected), eV/atom: -0.159
M_tot, μB/f.u.: 0.7

[3]
The following is a GGA-PBE calculation of AsP2Cl after structural relaxation, from Alexandria.

Cell: 5.3587 5.3587 5.2322 Å, 90.00 90.00 90.00°
Space group I4/mmm (No. 139)
One atom of each set of equivalent atoms:
As1 0.0000 0.0000 0.0000 (multiplicity 2)
P1 0.0000 0.5000 0.0000 (multiplicity 4)
Cl1 0.0000 0.0000 0.5000 (multiplicity 2)

## Properties
ΔE to the lowest computed polymorph, eV per atom: 0.533
E_form (uncorrected), eV/atom: 0.536
M_tot, μB/f.u.: 0.0

[4]
The following is a GGA-PBE calculation of Ga2AgPd2 after structural relaxation, from Alexandria.

Cell: 3.7864 3.7864 12.0498 Å, 90.00 90.00 90.00°
Space group I4/mmm (No. 139)
One atom of each set of equivalent atoms:
Ga1 0.0000 0.5000 0.2500 (multiplicity 4)
Ag1 0.0000 0.0000 0.0000 (multiplicity 2)
Pd1 0.0000 0.0000 0.3902 (multiplicity 4)

## Properties
Energy of formation from the pure elements, eV/f.u.: -1.408
ΔE to the lowest computed polymorph, eV per atom: 0.185
M_tot, μB/f.u.: 0.0

[5]
The following is a GGA-PBE calculation of K2RbTlH after structural relaxation, from Alexandria.

Cell: 5.6324 5.6324 5.9050 Å, 90.00 90.00 90.00°
Space group P4/mmm (No. 123)
One atom of each set of equivalent atoms:
K1 0.0000 0.5000 0.0000 (multiplicity 2)
Rb1 0.0000 0.0000 0.5000 (multiplicity 1)
Tl1 0.5000 0.5000 0.5000 (multiplicity 1)
H1 0.0000 0.0000 0.0000 (multiplicity 1)

## Properties
ΔE to the lowest computed polymorph, eV per atom: 0.000
M_tot, μB/f.u.: 0.0

[6]
The following is a GGA-PBE calculation of YHo4Pt2 after structural relaxation, from Alexandria.

Cell: 7.7666 6.3492 8.0310 Å, 90.00 112.49 90.00°
Space group P2_1/m (No. 11)
One atom of each set of equivalent atoms:
Y1 0.1522 0.2500 0.0238 (multiplicity 2)
Ho1 0.0167 0.2500 0.3865 (multiplicity 2)
Ho2 0.2502 0.7500 0.3457 (multiplicity 2)
Ho3 0.4099 0.0047 0.7681 (multiplicity 4)
Pt1 0.2493 0.7500 0.9915 (multiplicity 2)
Pt2 0.3773 0.2500 0.4151 (multiplicity 2)

## Properties
Energy of formation from the pure elements, eV/f.u.: -4.985
M_tot, μB/f.u.: 0.0

[7]
The following is a GGA-PBE calculation of HfTiGa2 after structural relaxation, from Alexandria.

Cell: 5.4730 2.9192 18.0739 Å, 90.00 90.00 90.00°
Space group Pnma (No. 62)
One atom of each set of equivalent atoms:
Hf1 0.0567 0.2500 0.1304 (multiplicity 4)
Ti1 0.0575 0.7500 0.3806 (multiplicity 4)
Ga1 0.1943 0.2500 0.7498 (multiplicity 4)
Ga2 0.2447 0.7500 0.0005 (multiplicity 4)

## Properties
Energy of formation from the pure elements, eV/f.u.: -0.998
ΔE to the lowest computed polymorph, eV per atom: 0.180
M_tot, μB/f.u.: 0.0

[8]
The following is a GGA-PBE calculation of Mg3InPb after structural relaxation, from Alexandria.

Cell: 5.3302 5.3302 5.3302 Å, 90.00 90.00 90.00°
Space group Pm-3m (No. 221)
One atom of each set of equivalent atoms:
Mg1 0.0000 0.0000 0.5000 (multiplicity 3)
In1 0.0000 0.0000 0.0000 (multiplicity 1)
Pb1 0.5000 0.5000 0.5000 (multiplicity 1)

## Properties
Energy of formation from the pure elements, eV/f.u.: 1.569
ΔE to the lowest computed polymorph, eV per atom: 0.337
M_tot, μB/f.u.: 0.0

[9]
The following is a GGA-PBE calculation of FeOs2Br after structural relaxation, from Alexandria.

Cell: 6.2351 6.2351 6.2351 Å, 90.00 90.00 90.00°
Space group F-43m (No. 216)
One atom of each set of equivalent atoms:
Fe1 0.0000 0.0000 0.0000 (multiplicity 4)
Os1 0.0000 0.0000 0.5000 (multiplicity 4)
Os2 0.2500 0.2500 0.7500 (multiplicity 4)
Br1 0.2500 0.2500 0.2500 (multiplicity 4)

## Properties
ΔE to the lowest computed polymorph, eV per atom: 0.563
E_form (uncorrected), eV/atom: 1.236
M_tot, μB/f.u.: 2.5

[10]
The following is a GGA-PBE calculation of RbCdHg2Cl8 after structural relaxation, from Alexandria.

Cell: 6.6831 6.6831 9.4083 Å, 90.00 90.00 120.00°
Space group P-3 (No. 147)
One atom of each set of equivalent atoms:
Rb1 0.0000 0.0000 0.0000 (multiplicity 1)
Cd1 0.0000 0.0000 0.5000 (multiplicity 1)
Hg1 0.3333 0.6667 0.7319 (multiplicity 2)
Cl1 0.0331 0.7036 0.3293 (multiplicity 6)
Cl2 0.3333 0.6667 0.0014 (multiplicity 2)

## Properties
E_form (uncorrected), eV/atom: -0.800
M_tot, μB/f.u.: 0.6

[11]
The following is a GGA-PBE calculation of Zn2NiB2Ir5 after structural relaxation, from Alexandria.

Cell: 9.3961 9.3961 2.8764 Å, 90.00 90.00 90.00°
Space group P4/mbm (No. 127)
One atom of each set of equivalent atoms:
Zn1 0.1761 0.3239 0.0000 (multiplicity 4)
Ni1 0.0000 0.0000 0.0000 (multiplicity 2)
B1 0.1278 0.6278 0.0000 (multiplicity 4)
Ir1 0.0000 0.5000 0.5000 (multiplicity 2)
Ir2 0.0747 0.7891 0.5000 (multiplicity 8)

## Properties
Energy of formation from the pure elements, eV/f.u.: -1.459
M_tot, μB/f.u.: 0.0

[12]
The following is a GGA-PBE calculation of GdYHoZn after structural relaxation, from Alexandria.

Cell: 7.5585 7.5585 7.5585 Å, 90.00 90.00 90.00°
Space group F-43m (No. 216)
One atom of each set of equivalent atoms:
Gd1 0.0000 0.0000 0.0000 (multiplicity 4)
Y1 0.0000 0.0000 0.5000 (multiplicity 4)
Ho1 0.2500 0.2500 0.2500 (multiplicity 4)
Zn1 0.2500 0.2500 0.7500 (multiplicity 4)

## Properties
Energy of formation from the pure elements, eV/f.u.: 0.144
M_tot, μB/f.u.: 7.7

Q: M_tot of number 1 (Cs2AgBrO)?
A: 0.0 μB/f.u.

Q: What is the formula in the third record?
A: AsP2Cl